Record 1
Computed, not measured: a relaxed structure of CaCu2Cl4 at the PBE level of DFT.

Properties
Space-group type ... No. 87

a = 6.064 Å, b = 6.064 Å, c = 6.064 Å
α = 105.91°, β = 105.91°, γ = 116.85°
Positions (direct):
Cu  0.750  0.250  0.500
Cu  0.250  0.750  0.500
Cl  0.170  0.667  0.838
Cl  0.830  0.333  0.162
Cl  0.333  0.170  0.503
Cl  0.667  0.830  0.497
Ca  0.500  0.500  0.000


Record 2
Computed, not measured: a relaxed structure of CaCuCl at the PBE level of DFT.

Properties
Space-group type ... No. 42

a = 6.826 Å, b = 6.828 Å, c = 3.453 Å
α = 75.32°, β = 75.38°, γ = 29.30°
Positions (direct):
Cl  0.374  0.374  0.626
Cu  0.635  0.635  0.365
Ca  0.991  0.991  0.009


Record 3
Computed, not measured: a relaxed structure of Ca2Cu2Cl7 at the PBE level of DFT.

Properties
Space-group type ... No. 12

a = 6.448 Å, b = 7.127 Å, c = 7.127 Å
α = 107.43°, β = 96.19°, γ = 96.19°
Site moments in Bohr magnetons follow the coordinates.
Positions (direct):
Ca  0.500  0.311  0.689  0.00
Ca  0.500  0.689  0.311  0.00
Cl  0.000  0.000  0.000  0.14
Cl  0.761  0.597  0.597  0.03
Cl  0.239  0.403  0.403  0.03
Cl  0.721  0.068  0.417  0.02
Cl  0.721  0.417  0.068  0.02
Cl  0.279  0.932  0.583  0.02
Cl  0.279  0.583  0.932  0.02
Cu  0.902  0.243  0.243  0.35
Cu  0.098  0.757  0.757  0.35


Record 4
Computed, not measured: a relaxed structure of CaCu2Cl at the PBE level of DFT.

Properties
Space-group type ... No. 8

a = 4.102 Å, b = 4.102 Å, c = 6.324 Å
α = 90.16°, β = 90.16°, γ = 60.04°
Positions (direct):
Cl  0.124  0.124  0.287
Ca  0.458  0.458  0.531
Cu  0.792  0.792  0.823
Cu  0.126  0.126  0.859


Record 5
Computed, not measured: a relaxed structure of Ca3Cu2Cl8 at the PBE level of DFT.

Properties
Space-group type ... No. 12

a = 6.920 Å, b = 8.035 Å, c = 7.909 Å
α = 120.53°, β = 106.64°, γ = 90.00°
Site moments in Bohr magnetons follow the coordinates.
Positions (direct):
Ca  0.000  0.258  0.000  0.00
Ca  0.000  0.742  0.000  0.00
Ca  0.500  0.000  0.000  0.00
Cl  0.741  0.371  0.235  0.01
Cl  0.764  0.889  0.779  0.00
Cl  0.741  0.864  0.235  0.01
Cl  0.259  0.629  0.765  0.01
Cl  0.750  0.381  0.761  0.01
Cl  0.250  0.619  0.239  0.01
Cl  0.236  0.111  0.221  0.00
Cl  0.259  0.136  0.765  0.01
Cu  0.430  0.396  0.792  0.12
Cu  0.570  0.604  0.208  0.12


Record 6
Computed, not measured: a relaxed structure of CaCuCl3 at the PBE level of DFT.

Properties
Space-group type ... No. 62

a = 6.576 Å, b = 7.721 Å, c = 10.386 Å
α = 90.00°, β = 90.00°, γ = 90.00°
Site moments in Bohr magnetons follow the coordinates.
Positions (direct):
Cl  0.663  0.688  0.572  0.01
Cl  0.163  0.812  0.428  0.01
Cl  0.837  0.188  0.572  0.01
Cl  0.663  0.688  0.928  0.01
Cl  0.340  0.023  0.750  0.00
Cl  0.660  0.977  0.250  0.00
Cl  0.337  0.312  0.428  0.01
Cl  0.160  0.523  0.750  0.00
Cl  0.163  0.812  0.072  0.01
Cl  0.837  0.188  0.928  0.01
Cl  0.337  0.312  0.072  0.01
Cl  0.840  0.477  0.250  0.00
Ca  0.000  0.500  0.500  0.00
Ca  0.500  0.000  0.500  0.00
Ca  0.000  0.500  0.000  0.00
Ca  0.500  0.000  0.000  0.00
Cu  0.472  0.633  0.750  0.09
Cu  0.028  0.133  0.750  0.09
Cu  0.528  0.367  0.250  0.09
Cu  0.972  0.867  0.250  0.09


Record 7
Computed, not measured: a relaxed structure of CaCu2Cl6 at the PBE level of DFT.

Properties
Space-group type ... No. 15

a = 7.045 Å, b = 8.683 Å, c = 8.683 Å
α = 75.03°, β = 77.04°, γ = 77.04°
Site moments in Bohr magnetons follow the coordinates.
Positions (direct):
Ca  0.750  0.865  0.135  0.00
Ca  0.250  0.135  0.865  0.00
Cl  0.060  0.413  0.206  0.18
Cl  0.364  0.047  0.176  0.08
Cl  0.576  0.599  0.211  0.12
Cl  0.424  0.401  0.789  0.12
Cl  0.636  0.953  0.824  0.08
Cl  0.440  0.794  0.587  0.18
Cl  0.864  0.176  0.047  0.08
Cl  0.076  0.211  0.599  0.12
Cl  0.136  0.824  0.953  0.08
Cl  0.560  0.206  0.413  0.18
Cl  0.940  0.587  0.794  0.18
Cl  0.924  0.789  0.401  0.12
Cu  0.262  0.216  0.354  0.52
Cu  0.762  0.354  0.216  0.52
Cu  0.738  0.784  0.646  0.52
Cu  0.238  0.646  0.784  0.52


Record 8
Computed, not measured: a relaxed structure of CaCuCl3 at the PBE level of DFT.

Properties
Space-group type ... No. 221

a = 4.820 Å, b = 4.820 Å, c = 4.820 Å
α = 90.00°, β = 90.00°, γ = 90.00°
Positions (direct):
Cl  0.000  0.000  0.500
Cl  0.500  0.000  0.000
Cl  0.000  0.500  0.000
Cu  0.000  0.000  0.000
Ca  0.500  0.500  0.500


Record 9
Computed, not measured: a relaxed structure of CaCu2Cl at the PBE level of DFT.

Properties
Space-group type ... No. 225

a = 4.865 Å, b = 4.865 Å, c = 4.865 Å
α = 60.00°, β = 60.00°, γ = 60.00°
Positions (direct):
Ca  0.500  0.500  0.500
Cl  0.000  0.000  0.000
Cu  0.750  0.750  0.750
Cu  0.250  0.250  0.250


Record 10
Computed, not measured: a relaxed structure of CaCu2Cl4 at the PBE level of DFT.

Properties
Space-group type ... No. 2

a = 3.974 Å, b = 6.959 Å, c = 6.663 Å
α = 100.49°, β = 89.96°, γ = 106.44°
Positions (direct):
Cl  0.619  0.239  0.889
Cl  0.878  0.756  0.612
Cl  0.122  0.244  0.388
Cl  0.381  0.761  0.111
Ca  0.000  0.000  0.000
Cu  0.603  0.208  0.543
Cu  0.397  0.792  0.457


Record 11
Computed, not measured: a relaxed structure of CaCuCl at the PBE level of DFT.

Properties
Space-group type ... No. 216

a = 4.825 Å, b = 4.825 Å, c = 4.825 Å
α = 60.00°, β = 60.00°, γ = 60.00°
Positions (direct):
Cl  0.000  0.000  0.000
Cu  0.500  0.500  0.500
Ca  0.250  0.250  0.250


Record 12
Computed, not measured: a relaxed structure of CaCuCl at the PBE level of DFT.

Properties
Space-group type ... No. 216

a = 4.785 Å, b = 4.785 Å, c = 4.785 Å
α = 60.00°, β = 60.00°, γ = 60.00°
Positions (direct):
Cl  0.250  0.250  0.250
Ca  0.500  0.500  0.500
Cu  0.000  0.000  0.000


Short version: total magnetic moment = 0.1, 0.0, 1.1, 0.0, 0.3, 0.4, 4.0, 0.0, 0.0, 0.0, 0.0, 0.0 Bohr magnetons per cell, in the order given.
Short version: total DFT energy (no corrections) = -3.635, -3.407, -3.764, -3.588, -3.995, -3.902, -3.431, -3.519, -2.844, -3.758, -3.340, -3.098 eV per atom, in the order given.
Short version: ΔE_f (raw) = -108, -73, -143, -56, -170, -152, -103, -115, 16, -120, -67, -43 kJ/mol of atoms, in the order given.